(1)
## SmInHg (PBE-GGA)

Data for a geometry-optimized SmInHg structure.

POSCAR file:
```
SmInHg
1.0
-3.813 -2.661 -2.088
-4.815 0.931 1.387
-3.199 2.262 -3.260
Hg In Sm
1 1 1
direct
0.250 0.250 0.250
0.750 0.750 0.750
0.000 0.000 0.000
```

Crystal system ... cubic
Electronic total energy ... -8.0 eV/f.u.
Magnetization ... 0.00 μB/cell

---

(2)
## LuNiBiPd (PBE-GGA)

Data for a geometry-optimized LuNiBiPd structure.

POSCAR file:
```
LuNiBiPd
1.0
0.000 3.382 3.382
3.382 0.000 3.382
3.382 3.382 0.000
Bi Lu Ni Pd
1 1 1 1
direct
0.000 0.000 0.000
0.250 0.250 0.250
0.750 0.750 0.750
0.500 0.500 0.500
```

Crystal system ... cubic
Magnetization ... 0.01 μB/cell
Offset from the most stable computed form ... 216 meV per atom

---

(3)
## Zn2I (PBE-GGA)

Data for a geometry-optimized Zn2I structure.

POSCAR file:
```
Zn2I
1.0
7.223 0.000 0.000
0.000 7.223 0.000
0.000 0.000 4.725
I Zn
2 4
direct
0.000 0.000 0.000
0.500 0.500 0.500
0.297 0.297 0.000
0.703 0.703 0.000
0.797 0.203 0.500
0.203 0.797 0.500
```

Crystal system ... tetragonal
Offset from the most stable computed form ... 275 meV per atom

---

(4)
## HfPaO3 (PBE-GGA)

Data for a geometry-optimized HfPaO3 structure.

POSCAR file:
```
HfPaO3
1.0
4.385 0.000 0.000
0.000 4.385 0.000
0.000 0.000 4.385
Hf O Pa
1 3 1
direct
0.000 0.000 0.000
0.500 0.500 0.000
0.500 0.000 0.500
0.000 0.500 0.500
0.500 0.500 0.500
```

Crystal system ... cubic
Electronic total energy ... -41.3 eV/f.u.
Magnetization ... 2.66 μB/cell

---

Repeat the fourth record exactly.
## HfPaO3 (PBE-GGA)

Data for a geometry-optimized HfPaO3 structure.

POSCAR file:
```
HfPaO3
1.0
4.385 0.000 0.000
0.000 4.385 0.000
0.000 0.000 4.385
Hf O Pa
1 3 1
direct
0.000 0.000 0.000
0.500 0.500 0.000
0.500 0.000 0.500
0.000 0.500 0.500
0.500 0.500 0.500
```

Crystal system ... cubic
Electronic total energy ... -41.3 eV/f.u.
Magnetization ... 2.66 μB/cell